# 1
{"formula": "PmClF", "functional": "PBE-GGA", "state": "relaxed", "cell": [[4.2631, 0.0000, 0.0000], [-2.1315, 3.6919, 0.0000], [0.0000, 0.0000, 3.5745]], "species": ["Pm", "Cl", "F"], "frac_coords": [[0.0000, 0.0000, 0.0000], [0.3333, 0.6667, 0.4954], [0.6667, 0.3333, 0.9948]], "space_group": "P3m1", "raw_formation_energy_mev_per_atom": -2639, "magnetic_moment_mub_per_fu": 0.000}



# 2
{"formula": "PmEr2Rh3", "functional": "PBE-GGA", "state": "relaxed", "cell": [[3.4300, 0.0000, 0.0000], [0.0000, 3.4300, 0.0000], [0.0000, 0.0000, 10.3453]], "species": ["Pm", "Er", "Er", "Rh", "Rh", "Rh"], "frac_coords": [[0.0000, 0.0000, 0.0000], [0.0000, 0.0000, 0.3367], [0.0000, 0.0000, 0.6633], [0.5000, 0.5000, 0.1777], [0.5000, 0.5000, 0.5000], [0.5000, 0.5000, 0.8223]], "space_group": "P4/mmm", "magnetic_moment_mub_per_fu": 0.000, "e_form_mev_per_atom": -844}



# 3
{"formula": "AgWSe2Br", "functional": "PBE-GGA", "state": "relaxed", "cell": [[5.1226, 0.0000, 0.0000], [0.0000, 5.1226, 0.0000], [0.0000, 0.0000, 4.9581]], "species": ["Ag", "W", "Se", "Se", "Br"], "frac_coords": [[0.0000, 0.0000, 0.0000], [0.5000, 0.5000, 0.5000], [0.0000, 0.5000, 0.0000], [0.5000, 0.0000, 0.0000], [0.0000, 0.0000, 0.5000]], "space_group": "P4/mmm", "raw_formation_energy_mev_per_atom": 1373, "magnetic_moment_mub_per_fu": 3.319}



# 4
{"formula": "Ir2Rh", "functional": "PBE-GGA", "state": "relaxed", "cell": [[4.3765, 0.0000, 0.0000], [-2.1882, 3.7901, 0.0000], [0.0000, 0.0000, 2.6968]], "species": ["Ir", "Ir", "Rh"], "frac_coords": [[0.3333, 0.6667, 0.0000], [0.6667, 0.3333, 0.0000], [0.0000, 0.0000, 0.5000]], "space_group": "P6/mmm", "magnetic_moment_mub_per_fu": 0.001, "e_form_mev_per_atom": 255}



# 5
{"formula": "ZrP2PbS8", "functional": "PBE-GGA", "state": "relaxed", "cell": [[5.0544, -3.3876, 0.0000], [5.0544, 3.3876, 0.0000], [-0.6269, 0.0000, 8.6447]], "species": ["Zr", "P", "P", "Pb", "S", "S", "S", "S", "S", "S", "S", "S"], "frac_coords": [[0.0000, 0.0000, 0.0000], [0.3661, 0.3661, 0.2262], [0.6339, 0.6339, 0.7738], [0.0000, 0.0000, 0.5000], [0.2528, 0.2528, 0.0215], [0.2595, 0.7370, 0.7801], [0.2630, 0.7405, 0.2199], [0.2915, 0.2915, 0.4317], [0.7085, 0.7085, 0.5683], [0.7370, 0.2595, 0.7801], [0.7405, 0.2630, 0.2199], [0.7472, 0.7472, 0.9785]], "space_group": "C2/m", "raw_formation_energy_mev_per_atom": -468, "magnetic_moment_mub_per_fu": 0.000}



# 6
{"formula": "Ce2SiC", "functional": "PBE-GGA", "state": "relaxed", "cell": [[-1.7181, 1.8948, 6.6213], [1.7181, -1.8948, 6.6213], [1.7181, 1.8948, -6.6213]], "species": ["Ce", "Ce", "Si", "C"], "frac_coords": [[0.1345, 0.1345, 0.0000], [0.8655, 0.8655, 0.0000], [0.5000, 0.5000, 0.0000], [0.0000, 0.5000, 0.5000]], "space_group": "Immm", "raw_formation_energy_mev_per_atom": -116, "magnetic_moment_mub_per_fu": 2.324}



# 7
{"formula": "Pm2Tl3Ag", "functional": "PBE-GGA", "state": "relaxed", "cell": [[3.6631, 0.0000, 0.0000], [0.0000, 5.0458, 0.0000], [0.0000, 0.0000, 8.7517]], "species": ["Pm", "Pm", "Tl", "Tl", "Tl", "Ag"], "frac_coords": [[0.0000, 0.0000, 0.0000], [0.0000, 0.5000, 0.4965], [0.5000, 0.0000, 0.6483], [0.5000, 0.5000, 0.1786], [0.5000, 0.5000, 0.8360], [0.5000, 0.0000, 0.3240]], "space_group": "Pmm2", "magnetic_moment_mub_per_fu": 0.000, "e_form_mev_per_atom": -268}



# 8
{"formula": "NaSbOF2", "functional": "PBE-GGA", "state": "relaxed", "cell": [[4.5657, 0.0000, 0.0000], [0.0000, 4.5657, 0.0000], [0.0000, 0.0000, 4.2763]], "species": ["Na", "Sb", "O", "F", "F"], "frac_coords": [[0.0000, 0.0000, 0.0000], [0.5000, 0.5000, 0.5000], [0.5000, 0.5000, 0.0000], [0.0000, 0.5000, 0.5000], [0.5000, 0.0000, 0.5000]], "space_group": "P4/mmm", "raw_formation_energy_mev_per_atom": -1825, "magnetic_moment_mub_per_fu": 0.000}